This record from Alexandria via LeMat-Bulk describes a relaxed SrY3Ru crystal. The functional is PBE.

Output
ΔE_f ... 0.14 eV per formula unit
Energy above the lowest structure with this stoichiometry ... 0.205 eV/atom
Raw total energy ... -6.042 eV per atom
Volume ... 648.2 Å³/cell
N(E_F) ... 4.39 states/eV/f.u.

abc: 6.831 8.773 10.817
angles: 90.00 90.00 90.00
Element x y z (fractional)
Y1 0.025 0.939 0.853
Y2 0.475 0.439 0.353
Y3 0.475 0.061 0.353
Y4 0.975 0.439 0.147
Y5 0.975 0.061 0.147
Y6 0.525 0.561 0.647
Y7 0.525 0.939 0.647
Y8 0.025 0.561 0.853
Y9 0.265 0.250 0.717
Y10 0.235 0.750 0.217
Y11 0.735 0.750 0.283
Y12 0.765 0.250 0.783
Ru1 0.599 0.250 0.553
Ru2 0.901 0.750 0.053
Ru3 0.401 0.750 0.447
Ru4 0.099 0.250 0.947
Sr1 0.000 0.000 0.500
Sr2 0.500 0.500 0.000
Sr3 0.500 0.000 0.000
Sr4 0.000 0.500 0.500

***

This record from Alexandria via LeMat-Bulk describes a relaxed HoNp2Sn9 crystal. The functional is PBE.

Output
ΔE_f ... -2.76 eV per formula unit
Raw total energy ... -5.770 eV per atom
Volume ... 304.6 Å³/cell
N(E_F) ... 24.74 states/eV/f.u.

abc: 4.670 4.670 13.968
angles: 90.00 90.00 90.00
Each line ends with the local moment (μB).
Element x y z (fractional)
Ho1 0.000 0.000 0.000  -0.08
Np1 0.000 0.000 0.336  3.92
Np2 0.000 0.000 0.664  3.92
Sn1 0.500 0.500 0.000  0.01
Sn2 0.500 0.500 0.334  -0.02
Sn3 0.500 0.500 0.666  -0.02
Sn4 0.500 0.000 0.168  0.01
Sn5 0.500 0.000 0.500  -0.02
Sn6 0.500 0.000 0.832  0.01
Sn7 0.000 0.500 0.168  0.01
Sn8 0.000 0.500 0.500  -0.02
Sn9 0.000 0.500 0.832  0.01

***

This record from Alexandria via LeMat-Bulk describes a relaxed CePr2Ni6 crystal. The functional is PBE.

Output
ΔE_f ... -2.56 eV per formula unit
Raw total energy ... -5.860 eV per atom
Volume ... 166.6 Å³/cell
N(E_F) ... 16.32 states/eV/f.u.

abc: 3.834 7.083 7.083
angles: 120.00 90.00 90.00
Each line ends with the local moment (μB).
Element x y z (fractional)
Ce1 0.000 0.000 0.000  0.46
Pr1 0.000 0.333 0.667  0.01
Pr2 0.000 0.667 0.333  0.01
Ni1 0.500 0.330 0.330  0.07
Ni2 0.500 0.670 0.670  0.07
Ni3 0.500 0.000 0.670  0.07
Ni4 0.500 0.670 0.000  0.07
Ni5 0.500 0.330 0.000  0.07
Ni6 0.500 0.000 0.330  0.07